Compound: LaGa2MoO8
Source: the Alexandria database
Functional: GGA+U
Structure: relaxed

Unit cell a=6.580 b=6.691 c=6.704 alpha=90.00 beta=90.00 gamma=90.00
Space group Cmmm (No. 65)
Unique sites:
La: 0.000 0.000 0.000 x2
Ga: 0.000 0.500 0.274 x4
Mo: 0.000 0.000 0.500 x2
O: 0.000 0.297 0.500 x4
O: 0.000 0.340 0.000 x4
O: 0.203 0.000 0.293 x8

Total moment in μB/cell: 0.5
E_tot in eV/atom: -6.668
DOS at the Fermi energy in states/eV/f.u.: 2.52